(1)
Below is an optimized crystal structure of SrSc2Fe, with properties calculated at the PBE level.

Results
- Energy above the most stable polymorph in this dataset: 0.441 eV/atom
- Magnetic moment: 1.63 μB per formula unit
- Space-group type: P4/mmm (123)
- Final energy: -5.164 eV/atom
- Formation energy: 0.54 eV/atom

Cell and atoms, written as extended XYZ:
```
4
Lattice="4.474 0.000 0.000 0.000 4.474 0.000 0.000 0.000 4.917" Properties=species:S:1:pos:R:3 pbc="T T T"
Sr 0.000 0.000 0.000
Sc 0.000 2.237 2.459
Sc 2.237 0.000 2.459
Fe 2.237 2.237 0.000
```



(2)
Below is an optimized crystal structure of BaTa2Ni, with properties calculated at the PBE level.

Results
- Energy above the most stable polymorph in this dataset: 0.913 eV/atom
- Magnetic moment: 0.00 μB per formula unit
- Space-group type: P4/mmm (123)
- Final energy: -6.527 eV/atom
- Formation energy: 1.33 eV/atom

Cell and atoms, written as extended XYZ:
```
4
Lattice="4.999 0.000 0.000 0.000 4.999 0.000 0.000 0.000 3.117" Properties=species:S:1:pos:R:3 pbc="T T T"
Ba 0.000 0.000 0.000
Ta 0.000 2.500 1.559
Ta 2.500 0.000 1.559
Ni 2.500 2.500 0.000
```